1.
This record from Alexandria describes crystalline TmGa4Ag at its relaxed geometry. The functional is GGA-PBE.

a = 5.463 Å, b = 5.463 Å, c = 5.463 Å
α = 60.00°, β = 60.00°, γ = 60.00°
Atoms (fractional coordinates):
Tm: 0.000 0.000 0.000
Ga: 0.124 0.625 0.625
Ga: 0.625 0.124 0.625
Ga: 0.625 0.625 0.124
Ga: 0.625 0.625 0.625
Ag: 0.250 0.250 0.250

Computed properties:
excess energy over the best structure of this formula in the dataset = 0.43 kcal/mol of atoms
crystal system = cubic
ΔE_f = -0.181 eV/atom



2.
This record from Alexandria describes crystalline Pr2Th3Ru2 at its relaxed geometry. The functional is GGA-PBE.

a = 6.578 Å, b = 6.578 Å, c = 8.970 Å
α = 115.42°, β = 115.42°, γ = 34.68°
Atoms (fractional coordinates):
Pr: 0.158 0.158 0.310
Pr: 0.842 0.842 0.690
Th: 0.380 0.380 0.054
Th: 0.500 0.500 0.500
Th: 0.620 0.620 0.946
Ru: 0.142 0.142 0.743
Ru: 0.858 0.858 0.257

Computed properties:
crystal system = monoclinic
ΔE_f = -0.310 eV/atom



What DOS(E_F) values result from the calculations? In sequence: 4.03, 7.35 states/eV/cell.